(1)
# PBE-GGA Ho2MgIn3Te6, optimized geometry
# V   32.35 Å³ per atom
# Space group   C2/m
# Theoretical density   6.26 g/cm3
# Uncorrected energy   -47.361 eV/f.u.
# E_form (uncorrected)   -0.795 eV per atom
data_Ho2MgIn3Te6
_chemical_formula_sum 'Ho2 Mg1 In3 Te6'
_cell_length_a 7.5978
_cell_length_b 7.5978
_cell_length_c 8.1734
_cell_angle_alpha 98.90
_cell_angle_beta 98.90
_cell_angle_gamma 120.09
_space_group_name_H-M_alt 'P 1'
_space_group_IT_number 1
_space_group_name_Hall 'P 1'
loop_
_atom_site_label
_atom_site_type_symbol
_atom_site_fract_x
_atom_site_fract_y
_atom_site_fract_z
In1 In 0.8295 0.1705 0.5000
In2 In 0.1705 0.8295 0.5000
Te1 Te 0.7455 0.7455 0.2238
Ho1 Ho 0.3344 0.6656 0.0000
Mg1 Mg 0.0000 0.0000 0.0000
Te2 Te 0.9269 0.5972 0.7783
Ho2 Ho 0.6656 0.3344 0.0000
Te3 Te 0.5972 0.9269 0.7783
Te4 Te 0.0731 0.4028 0.2217
Te5 Te 0.2545 0.2545 0.7762
In3 In 0.5000 0.5000 0.5000
Te6 Te 0.4028 0.0731 0.2217

=====

(2)
# PBE-GGA HoTmMgIn, optimized geometry
# V   25.84 Å³ per atom
# Space group   F-43m
# Theoretical density   7.60 g/cm3
# Uncorrected energy   -14.584 eV/f.u.
data_HoTmMgIn
_chemical_formula_sum 'Ho1 Tm1 Mg1 In1'
_cell_length_a 5.2680
_cell_length_b 5.2680
_cell_length_c 5.2680
_cell_angle_alpha 60.00
_cell_angle_beta 60.00
_cell_angle_gamma 60.00
_space_group_name_H-M_alt 'P 1'
_space_group_IT_number 1
_space_group_name_Hall 'P 1'
loop_
_atom_site_label
_atom_site_type_symbol
_atom_site_fract_x
_atom_site_fract_y
_atom_site_fract_z
Tm1 Tm 0.2500 0.2500 0.2500
In1 In 0.0000 0.0000 0.0000
Mg1 Mg 0.5000 0.5000 0.5000
Ho1 Ho 0.7500 0.7500 0.7500

=====

(3)
# PBE-GGA YHoMgIn, optimized geometry
# V   26.39 Å³ per atom
# Space group   F-43m
# Theoretical density   6.18 g/cm3
# Uncorrected energy   -16.710 eV/f.u.
data_YHoMgIn
_chemical_formula_sum 'Y1 Ho1 Mg1 In1'
_cell_length_a 5.3048
_cell_length_b 5.3048
_cell_length_c 5.3048
_cell_angle_alpha 60.00
_cell_angle_beta 60.00
_cell_angle_gamma 60.00
_space_group_name_H-M_alt 'P 1'
_space_group_IT_number 1
_space_group_name_Hall 'P 1'
loop_
_atom_site_label
_atom_site_type_symbol
_atom_site_fract_x
_atom_site_fract_y
_atom_site_fract_z
Ho1 Ho 0.2500 0.2500 0.2500
In1 In 0.0000 0.0000 0.0000
Mg1 Mg 0.5000 0.5000 0.5000
Y1 Y 0.7500 0.7500 0.7500

=====

(4)
# PBE-GGA Ho4MgZn2In, optimized geometry
# V   24.59 Å³ per atom
# Space group   R-3m
# Theoretical density   7.85 g/cm3
# Uncorrected energy   -27.505 eV/f.u.
data_Ho4MgZn2In
_chemical_formula_sum 'Ho4 Mg1 Zn2 In1'
_cell_length_a 5.1587
_cell_length_b 5.1587
_cell_length_c 9.0403
_cell_angle_alpha 73.42
_cell_angle_beta 73.42
_cell_angle_gamma 60.00
_space_group_name_H-M_alt 'P 1'
_space_group_IT_number 1
_space_group_name_Hall 'P 1'
loop_
_atom_site_label
_atom_site_type_symbol
_atom_site_fract_x
_atom_site_fract_y
_atom_site_fract_z
Mg1 Mg 0.5000 0.5000 0.5000
Zn1 Zn 0.2427 0.2427 0.2718
Ho1 Ho 0.3757 0.3757 0.8730
Zn2 Zn 0.7573 0.7573 0.7282
Ho2 Ho 0.1245 0.1245 0.6265
Ho3 Ho 0.6243 0.6243 0.1270
In1 In 0.0000 0.0000 0.0000
Ho4 Ho 0.8755 0.8755 0.3735

=====

(5)
# PBE-GGA HoMgZrIn, optimized geometry
# V   23.82 Å³ per atom
# Space group   F-43m
# Theoretical density   6.89 g/cm3
# Uncorrected energy   -18.152 eV/f.u.
data_HoMgZrIn
_chemical_formula_sum 'Ho1 Mg1 Zr1 In1'
_cell_length_a 5.1269
_cell_length_b 5.1269
_cell_length_c 5.1269
_cell_angle_alpha 60.00
_cell_angle_beta 60.00
_cell_angle_gamma 60.00
_space_group_name_H-M_alt 'P 1'
_space_group_IT_number 1
_space_group_name_Hall 'P 1'
loop_
_atom_site_label
_atom_site_type_symbol
_atom_site_fract_x
_atom_site_fract_y
_atom_site_fract_z
Mg1 Mg 0.0000 0.0000 0.0000
In1 In 0.5000 0.5000 0.5000
Zr1 Zr 0.2500 0.2500 0.2500
Ho1 Ho 0.7500 0.7500 0.7500

=====

(6)
# PBE-GGA Ho2MnIn, optimized geometry
# V   24.50 Å³ per atom
# Space group   Fm-3m
# Theoretical density   8.46 g/cm3
# Uncorrected energy   -21.459 eV/f.u.
data_Ho2MnIn
_chemical_formula_sum 'Ho2 Mn1 In1'
_cell_length_a 5.1752
_cell_length_b 5.1752
_cell_length_c 5.1752
_cell_angle_alpha 60.00
_cell_angle_beta 60.00
_cell_angle_gamma 60.00
_space_group_name_H-M_alt 'P 1'
_space_group_IT_number 1
_space_group_name_Hall 'P 1'
loop_
_atom_site_label
_atom_site_type_symbol
_atom_site_fract_x
_atom_site_fract_y
_atom_site_fract_z
Ho1 Ho 0.2500 0.2500 0.2500
Ho2 Ho 0.7500 0.7500 0.7500
Mn1 Mn 0.5000 0.5000 0.5000
In1 In 0.0000 0.0000 0.0000

=====

(7)
# PBE-GGA Ho2MnIn, optimized geometry
# V   24.14 Å³ per atom
# Space group   P4/mmm
# Theoretical density   8.59 g/cm3
# Uncorrected energy   -21.480 eV/f.u.
data_Ho2MnIn
_chemical_formula_sum 'Ho2 Mn1 In1'
_cell_length_a 4.1998
_cell_length_b 4.7947
_cell_length_c 4.7947
_cell_angle_alpha 90.00
_cell_angle_beta 90.00
_cell_angle_gamma 90.00
_space_group_name_H-M_alt 'P 1'
_space_group_IT_number 1
_space_group_name_Hall 'P 1'
loop_
_atom_site_label
_atom_site_type_symbol
_atom_site_fract_x
_atom_site_fract_y
_atom_site_fract_z
Mn1 Mn 0.5000 0.0000 0.0000
In1 In 0.5000 0.5000 0.5000
Ho1 Ho 0.0000 0.0000 0.5000
Ho2 Ho 0.0000 0.5000 0.0000

=====

(8)
# PBE-GGA Ho2MnIn, optimized geometry
# V   24.26 Å³ per atom
# Space group   P4/mmm
# Theoretical density   8.55 g/cm3
# Uncorrected energy   -21.690 eV/f.u.
data_Ho2MnIn
_chemical_formula_sum 'Ho2 Mn1 In1'
_cell_length_a 3.5861
_cell_length_b 3.5861
_cell_length_c 7.5464
_cell_angle_alpha 90.00
_cell_angle_beta 90.00
_cell_angle_gamma 90.00
_space_group_name_H-M_alt 'P 1'
_space_group_IT_number 1
_space_group_name_Hall 'P 1'
loop_
_atom_site_label
_atom_site_type_symbol
_atom_site_fract_x
_atom_site_fract_y
_atom_site_fract_z
In1 In 0.5000 0.5000 0.5000
Mn1 Mn 0.5000 0.5000 0.0000
Ho1 Ho 0.0000 0.0000 0.7715
Ho2 Ho 0.0000 0.0000 0.2285

=====

(9)
# PBE-GGA Ho4MnIn, optimized geometry
# V   26.83 Å³ per atom
# Space group   C2/c
# Theoretical density   8.56 g/cm3
# Uncorrected energy   -30.913 eV/f.u.
data_Ho4MnIn
_chemical_formula_sum 'Ho8 Mn2 In2'
_cell_length_a 5.9419
_cell_length_b 7.8381
_cell_length_c 7.8381
_cell_angle_alpha 112.35
_cell_angle_beta 99.66
_cell_angle_gamma 99.66
_space_group_name_H-M_alt 'P 1'
_space_group_IT_number 1
_space_group_name_Hall 'P 1'
loop_
_atom_site_label
_atom_site_type_symbol
_atom_site_fract_x
_atom_site_fract_y
_atom_site_fract_z
Ho1 Ho 0.6184 0.2030 0.3577
Ho2 Ho 0.5478 0.2737 0.9413
Ho3 Ho 0.8816 0.6423 0.7970
Mn1 Mn 0.2500 0.9992 0.0008
Ho4 Ho 0.9522 0.0587 0.7263
Ho5 Ho 0.4522 0.7263 0.0587
In1 In 0.7500 0.6256 0.3744
Ho6 Ho 0.3816 0.7970 0.6423
Ho7 Ho 0.1184 0.3577 0.2030
In2 In 0.2500 0.3744 0.6256
Mn2 Mn 0.7500 0.0008 0.9992
Ho8 Ho 0.0478 0.9413 0.2737

=====

Fermi-level density of states / states/eV/f.u.: 4.5; 2.7; 2.8; 7.3; 3.3; 5.0; 4.1; 3.9; 7.1